Entry from the Alexandria database: crystalline MnZnRh2 at its relaxed geometry (PBE).

The value obtained for the density of states at the Fermi level is 5.12 states/eV/f.u. Its crystal system is orthorhombic. The calculation puts the energy of formation at 0.08 eV/atom.

a = 2.7039 Å, b = 2.7039 Å, c = 8.7339 Å
α = 90.00°, β = 90.00°, γ = 116.69°
Atoms (fractional coordinates):
Mn (0.0000, 0.0000, 0.0000)
Zn (0.5000, 0.5000, 0.7487)
Rh (0.0000, 0.0000, 0.5040)
Rh (0.5000, 0.5000, 0.2366)


Entry from the Alexandria database: crystalline Ce2Hg3Au3 at its relaxed geometry (PBE).

The value obtained for the density of states at the Fermi level is 14.49 states/eV/f.u. Its crystal system is trigonal. The calculation puts the energy of formation at -0.47 eV/atom.

a = 8.7822 Å, b = 8.7822 Å, c = 8.7822 Å
α = 33.69°, β = 33.69°, γ = 33.69°
Atoms (fractional coordinates):
Ce (0.0000, 0.0000, 0.0000)
Ce (0.4914, 0.4914, 0.4914)
Hg (0.2482, 0.2482, 0.2482)
Hg (0.7436, 0.7436, 0.7436)
Hg (0.8721, 0.8721, 0.8721)
Au (0.1239, 0.1239, 0.1239)
Au (0.3690, 0.3690, 0.3690)
Au (0.6185, 0.6185, 0.6185)


Entry from the Alexandria database: crystalline CrTeOs2 at its relaxed geometry (PBE).

The value obtained for the density of states at the Fermi level is 3.29 states/eV/f.u. Its crystal system is cubic. The value obtained for the formation energy without anion corrections is 0.825 eV/atom.

a = 4.4450 Å, b = 4.4450 Å, c = 4.4450 Å
α = 60.00°, β = 60.00°, γ = 60.00°
Atoms (fractional coordinates):
Cr (0.0000, 0.0000, 0.0000)
Te (0.2500, 0.2500, 0.2500)
Os (0.5000, 0.5000, 0.5000)
Os (0.7500, 0.7500, 0.7500)


Entry from the Alexandria database: crystalline CoPb at its relaxed geometry (PBE).

The value obtained for the density of states at the Fermi level is 2.96 states/eV/f.u. Its crystal system is tetragonal. The calculation puts the energy of formation at 0.51 eV/atom.

a = 7.5175 Å, b = 7.5175 Å, c = 7.5175 Å
α = 92.85°, β = 92.85°, γ = 154.25°
Atoms (fractional coordinates):
Co (0.1747, 0.2272, 0.4019)
Co (0.2272, 0.8253, 0.0526)
Co (0.7728, 0.1747, 0.9474)
Co (0.8253, 0.7728, 0.5981)
Pb (0.2527, 0.4734, 0.7261)
Pb (0.4734, 0.7473, 0.2207)
Pb (0.5266, 0.2527, 0.7793)
Pb (0.7473, 0.5266, 0.2739)


Entry from the Alexandria database: crystalline La4Pr at its relaxed geometry (PBE).

The value obtained for the density of states at the Fermi level is 10.85 states/eV/f.u. For the relative energy among the computed polymorphs, the calculation gives 491.9 meV/atom. Its crystal system is cubic. The calculation puts the energy of formation at 0.50 eV/atom.

a = 5.9416 Å, b = 5.9416 Å, c = 5.9416 Å
α = 90.00°, β = 90.00°, γ = 90.00°
Atoms (fractional coordinates):
La (0.0000, 0.0000, 0.0000)
La (0.0000, 0.5000, 0.5000)
La (0.5000, 0.0000, 0.5000)
La (0.5000, 0.5000, 0.0000)
Pr (0.5000, 0.5000, 0.5000)


Entry from the Alexandria database: crystalline ErLuCuRu at its relaxed geometry (PBE).

The value obtained for the density of states at the Fermi level is 2.26 states/eV/f.u. Its crystal system is cubic. The calculation puts the energy of formation at -0.40 eV/atom.

a = 4.7837 Å, b = 4.7837 Å, c = 4.7837 Å
α = 60.00°, β = 60.00°, γ = 60.00°
Atoms (fractional coordinates):
Er (0.0000, 0.0000, 0.0000)
Lu (0.5000, 0.5000, 0.5000)
Cu (0.2500, 0.2500, 0.2500)
Ru (0.7500, 0.7500, 0.7500)


Entry from the Alexandria database: crystalline DyScAgHg at its relaxed geometry (PBE).

The value obtained for the density of states at the Fermi level is 4.52 states/eV/f.u. Its crystal system is cubic. The calculation puts the energy of formation at -0.37 eV/atom.

a = 5.0682 Å, b = 5.0682 Å, c = 5.0682 Å
α = 60.00°, β = 60.00°, γ = 60.00°
Atoms (fractional coordinates):
Dy (0.0000, 0.0000, 0.0000)
Sc (0.5000, 0.5000, 0.5000)
Ag (0.7500, 0.7500, 0.7500)
Hg (0.2500, 0.2500, 0.2500)


Entry from the Alexandria database: crystalline ZnPbCl2 at its relaxed geometry (PBE).

For the relative energy among the computed polymorphs, the calculation gives 77.2 meV/atom. Its crystal system is monoclinic. The value obtained for the formation energy without anion corrections is -0.593 eV/atom.

a = 4.3524 Å, b = 4.3524 Å, c = 9.7946 Å
α = 102.56°, β = 102.56°, γ = 59.97°
Atoms (fractional coordinates):
Zn (0.0000, 0.0000, 0.0000)
Pb (0.5000, 0.5000, 0.5000)
Cl (0.2190, 0.2190, 0.6599)
Cl (0.7810, 0.7810, 0.3401)